Ac3Nd3Tl2Sn: relaxed, PBE-GGA.

Results
crystal system: hexagonal
formation energy: -0.290 eV/atom
calculated volume: 318.5 Å³/cell

abc: 9.1111 9.1111 4.4309
angles: 90.00 90.00 120.00
Space group P-62m (No. 189)
Unique sites:
1 Ac 0.0000 0.2762 0.0000
2 Nd 0.0000 0.6054 0.5000
3 Tl 0.3333 0.6667 0.0000
4 Sn 0.0000 0.0000 0.5000


AcNd2Zn2Sn2: relaxed, PBE-GGA.

Results
crystal system: trigonal
formation energy: -0.390 eV/atom
calculated volume: 588.5 Å³/cell

abc: 4.7195 4.7195 30.5085
angles: 90.00 90.00 120.00
Space group R-3m (No. 166, hexagonal axes)
Unique sites:
1 Ac 0.0000 0.0000 0.0000
2 Nd 0.0000 0.0000 0.1332
3 Zn 0.0000 0.0000 0.4211
4 Sn 0.0000 0.0000 0.2622


AcNdZn2Sn2: relaxed, PBE-GGA.

Results
crystal system: trigonal
formation energy: -0.585 eV/atom
calculated volume: 161.6 Å³/cell

abc: 4.5593 4.5593 8.9789
angles: 90.00 90.00 120.00
Space group P-3m1 (No. 164)
Unique sites:
1 Ac 0.0000 0.0000 0.0000
2 Nd 0.0000 0.0000 0.5000
3 Zn 0.3333 0.6667 0.7164
4 Sn 0.3333 0.6667 0.2570


SrAc5Nd4: relaxed, PBE-GGA.

Results
crystal system: tetragonal
formation energy: 0.035 eV/atom
calculated volume: 415.6 Å³/cell

abc: 3.915 3.915 27.117
angles: 90.00 90.00 90.00
Space group P4/mmm (No. 123)
Unique sites:
1 Sr 0.000 0.000 0.000
2 Ac 0.500 0.500 0.114
3 Ac 0.500 0.500 0.306
4 Ac 0.500 0.500 0.500
5 Nd 0.000 0.000 0.209
6 Nd 0.000 0.000 0.403


Sr2AcNd: relaxed, PBE-GGA.

Results
crystal system: trigonal
formation energy: 0.263 eV/atom
calculated volume: 551.1 Å³/cell

abc: 3.8772 3.8772 42.3322
angles: 90.00 90.00 120.00
Space group R-3m (No. 166, hexagonal axes)
Unique sites:
1 Sr 0.0000 0.0000 0.0863
2 Ac 0.0000 0.0000 0.5000
3 Nd 0.0000 0.0000 0.0000


Sr2AcNd: relaxed, PBE-GGA.

Results
crystal system: tetragonal
formation energy: 0.186 eV/atom
calculated volume: 181.5 Å³/cell

abc: 4.463 4.463 9.110
angles: 90.00 90.00 90.00
Space group P4/mmm (No. 123)
Unique sites:
1 Sr 0.000 0.000 0.236
2 Ac 0.500 0.500 0.500
3 Nd 0.500 0.500 0.000


SrAcNd: relaxed, PBE-GGA.

Results
crystal system: monoclinic
formation energy: 0.055 eV/atom
calculated volume: 526.2 Å³/cell

abc: 6.805 3.979 19.720
angles: 90.00 99.83 90.00
Space group C2/m (No. 12)
Unique sites:
1 Sr 0.196 0.000 0.408
2 Ac 0.053 0.500 0.770
3 Nd 0.204 0.500 0.075


SrAcNd14: relaxed, PBE-GGA.

Results
crystal system: orthorhombic
formation energy: 0.063 eV/atom
calculated volume: 1182.4 Å³/cell

abc: 12.035 7.529 13.049
angles: 90.00 90.00 90.00
Space group Amm2 (No. 38)
Unique sites:
1 Sr 0.000 0.000 0.000
2 Ac 0.000 0.000 0.499
3 Nd 0.000 0.249 0.249
4 Nd 0.250 0.000 0.331
5 Nd 0.255 0.000 0.829
6 Nd 0.257 0.247 0.585
7 Nd 0.500 0.000 0.499
8 Nd 0.500 0.000 0.999
9 Nd 0.500 0.249 0.250


SrAcNd: relaxed, PBE-GGA.

Results
crystal system: trigonal
formation energy: 0.076 eV/atom
calculated volume: 131.3 Å³/cell

abc: 3.9480 3.9480 9.7258
angles: 90.00 90.00 120.00
Space group P3m1 (No. 156)
Unique sites:
1 Sr 0.0000 0.0000 0.0000
2 Ac 0.6667 0.3333 0.3602
3 Nd 0.3333 0.6667 0.6635


SrAcNd4: relaxed, PBE-GGA.

Results
crystal system: cubic
formation energy: 0.188 eV/atom
calculated volume: 977.6 Å³/cell

abc: 9.925 9.925 9.925
angles: 90.00 90.00 90.00
Space group F-43m (No. 216)
Unique sites:
1 Sr 0.000 0.000 0.000
2 Ac 0.250 0.250 0.750
3 Nd 0.123 0.123 0.377


SrAcNd: relaxed, PBE-GGA.

Results
crystal system: tetragonal
formation energy: 0.062 eV/atom
calculated volume: 262.9 Å³/cell

abc: 3.956 3.956 16.796
angles: 90.00 90.00 90.00
Space group I4mm (No. 107)
Unique sites:
1 Sr 0.000 0.000 0.000
2 Ac 0.000 0.000 0.316
3 Nd 0.000 0.000 0.670


SrAc4Nd: relaxed, PBE-GGA.

Results
crystal system: tetragonal
formation energy: 0.039 eV/atom
calculated volume: 267.2 Å³/cell

abc: 3.988 3.988 16.799
angles: 90.00 90.00 90.00
Space group P4/mmm (No. 123)
Unique sites:
1 Sr 0.000 0.000 0.000
2 Ac 0.000 0.000 0.346
3 Ac 0.500 0.500 0.184
4 Nd 0.500 0.500 0.500